Version w
Entry from OQMD: a relaxed LiTaCoPb crystal (PBE).

Geometry as POSCAR:
```
LiTaCoPb
1.0
6.265 0.000 0.000
0.000 6.265 0.000
0.000 0.000 6.265
Li Ta Co Pb
4 4 4 4
Cartesian
0.000 0.000 0.000
0.000 3.132 3.132
3.132 0.000 3.132
3.132 3.132 0.000
1.566 1.566 4.699
1.566 4.699 1.566
4.699 1.566 1.566
4.699 4.699 4.699
0.000 0.000 3.132
0.000 3.132 0.000
3.132 0.000 0.000
3.132 3.132 3.132
1.566 1.566 1.566
1.566 4.699 4.699
4.699 1.566 4.699
4.699 4.699 1.566
```

***

Version x
Entry from OQMD: a relaxed LiTaCoPb crystal (PBE).

Geometry as POSCAR:
```
LiTaCoPb
1.0
6.435 0.000 0.000
0.000 6.435 0.000
0.000 0.000 6.435
Li Ta Co Pb
4 4 4 4
Cartesian
0.000 0.000 0.000
0.000 3.217 3.217
3.217 0.000 3.217
3.217 3.217 0.000
1.609 1.609 1.609
1.609 4.826 4.826
4.826 1.609 4.826
4.826 4.826 1.609
1.609 1.609 4.826
1.609 4.826 1.609
4.826 1.609 1.609
4.826 4.826 4.826
0.000 0.000 3.217
0.000 3.217 0.000
3.217 0.000 0.000
3.217 3.217 3.217
```

***

Order of stability, best first: version w, version x